# Nb3CoC PBE relaxed
data_Nb3CoC
_chemical_formula_sum 'Nb12 Co4 C4'
_space_group_name_H-M_alt 'C m c m'
_space_group_IT_number 63
_space_group_name_Hall '-C 2c 2'
_cell_length_a 3.211
_cell_length_b 10.532
_cell_length_c 8.466
_cell_angle_alpha 90.00
_cell_angle_beta 90.00
_cell_angle_gamma 90.00
loop_
_atom_site_label
_atom_site_type_symbol
_atom_site_fract_x
_atom_site_fract_y
_atom_site_fract_z
Nb1 Nb 0.000 0.063 0.250
Nb2 Nb 0.000 0.366 0.058
Co1 Co 0.000 0.254 0.750
C1 C 0.000 0.000 0.000
# - Electronic total energy: -0.3541 Ha/atom
# - Formation enthalpy at 0 K: -327 meV/atom
# - N(E_F): 17.3 states/eV per cell